[1]
First-principles (PBE) data for a geometry-optimized Nd3TeAsS structure, as listed in the Alexandria database.

a b c (Å): 4.421 8.670 9.783
angles (deg): 100.59 90.00 90.00
Each line ends with the local moment (μB).
Element x y z (fractional)
1 Nd 0.750 0.887 0.128  -0.01
2 Nd 0.750 0.424 0.148  0.03
3 S 0.750 0.907 0.407  0.00
4 Nd 0.250 0.113 0.872  -0.01
5 Nd 0.250 0.576 0.852  0.03
6 S 0.250 0.093 0.593  0.00
7 As 0.250 0.657 0.155  0.00
8 Te 0.750 0.824 0.784  0.00
9 Nd 0.750 0.235 0.521  0.06
10 Te 0.250 0.176 0.216  0.00
11 Nd 0.250 0.765 0.479  0.06
12 As 0.750 0.343 0.845  0.00

VASP energy ... -5.78 eV/atom
Formation energy from raw total energies ... -1.4100 eV/atom
Total magnetic moment ... 0.55 μB per cell
V ... 368.6 Å³ per cell


[2]
First-principles (PBE) data for a geometry-optimized Nd2ThAs2S2 structure, as listed in the Alexandria database.

a b c (Å): 5.625 5.625 8.100
angles (deg): 110.32 110.32 90.00
Element x y z (fractional)
1 As 0.000 0.500 0.000
2 S 0.805 0.805 0.610
3 Nd 0.622 0.622 0.244
4 Th 0.000 0.000 0.000
5 S 0.195 0.195 0.390
6 Nd 0.378 0.378 0.756
7 As 0.500 0.000 0.000

VASP energy ... -6.13 eV/atom
Formation energy from raw total energies ... -1.1993 eV/atom
Total magnetic moment ... 0.00 μB per cell
V ... 223.3 Å³ per cell


> The highest formation energy from raw total energies belongs to which entry?

Nd2ThAs2S2